The following is a DFT calculation (PBE) of a relaxed structure of KLiHf2.

a b c (Å): 4.1098 4.1098 13.0994
angles (deg): 80.97 80.97 90.00
Closest atoms and distances in Å follow each position.
Fractional coordinates of all 8 atoms:
Li: 0.5000 0.5000 0.0000  4 K 2.91
Hf: 0.6177 0.1250 0.2500  4 Hf 2.86-2.95
Hf: 0.3750 0.3823 0.7500  4 Hf 2.86-2.95
Hf: 0.1323 0.6250 0.2500  4 Hf 2.86-2.95
Li: 0.2500 0.7500 0.5000  4 K 2.91
Hf: 0.8750 0.8677 0.7500  4 Hf 2.86-2.95
K: 0.7500 0.2500 0.5000  4 Li 2.91
K: 0.0000 0.0000 0.0000  4 Li 2.91

## Properties
Energy   -0.351 Ry per atom
Energy of formation from the pure elements   951 meV per atom
E above lowest polymorph   0 meV per atom
Volume   215.7 Å³ per cell